# 1
This record from Alexandria via LeMat-Bulk describes crystalline SrSnHg2Bi2 at its relaxed geometry. The functional is PBE.

As for the density of states at the Fermi level: 6.09 states/eV per cell. The value obtained for the formation energy is -0.237 eV per atom.

The structure belongs to space group P2_1/m (No. 11); the cell edges are 6.684, 6.251 and 9.313 Å and the angles 90.00°, 104.98° and 90.00°. The distinct sites, in fractional coordinates, are Sr at (0.163, 0.250, 0.288), Sn at (0.312, 0.750, 0.636), Hg at (0.257, 0.503, 0.983), Bi at (0.052, 0.250, 0.656) and Bi at (0.444, 0.750, 0.332).

---

# 2
This record from Alexandria via LeMat-Bulk describes crystalline FeMoP2 at its relaxed geometry. The functional is PBE.

As for the density of states at the Fermi level: 9.72 states/eV per cell. The value obtained for the formation energy is -0.113 eV per atom.

The structure belongs to space group R-3m (No. 166, hexagonal axes); the cell edges are 2.8856, 2.8856 and 21.5247 Å and the angles 90.00°, 90.00° and 120.00°. The distinct sites, in fractional coordinates, are Fe at (0.0000, 0.0000, 0.0000), Mo at (0.0000, 0.0000, 0.5000) and P at (0.0000, 0.0000, 0.2561).

---

# 3
This record from Alexandria via LeMat-Bulk describes crystalline SrV2HSe at its relaxed geometry. The functional is PBE.

The calculation puts the electronic total energy at -5.134 eV/atom. As for the density of states at the Fermi level: 2.78 states/eV per cell.

The structure belongs to space group P4/mmm (No. 123); the cell edges are 4.032, 4.032 and 5.406 Å and the angles 90.00°, 90.00° and 90.00°. The distinct sites, in fractional coordinates, are Sr at (0.000, 0.000, 0.000), V at (0.000, 0.500, 0.500), H at (0.000, 0.000, 0.500) and Se at (0.500, 0.500, 0.000).

---

# 4
This record from Alexandria via LeMat-Bulk describes crystalline MnGaAu3 at its relaxed geometry. The functional is PBE.

As for the density of states at the Fermi level: 2.22 states/eV per cell. As for the polymorph energy (0 for the lowest one): 596 meV/atom. The value obtained for the formation energy is 0.491 eV per atom.

The structure belongs to space group Pm-3m (No. 221); the cell edges are 4.857, 4.857 and 4.857 Å and the angles 90.00°, 90.00° and 90.00°. The distinct sites, in fractional coordinates, are Mn at (0.000, 0.000, 0.000), Ga at (0.500, 0.500, 0.500) and Au at (0.000, 0.500, 0.500).

---

# 5
This record from Alexandria via LeMat-Bulk describes crystalline GaSiMo2 at its relaxed geometry. The functional is PBE.

The calculation puts the formation energy (no corrections) at 0.04 eV/atom. As for the density of states at the Fermi level: 14.91 states/eV per cell. As for the polymorph energy (0 for the lowest one): 0 meV/atom.

The structure belongs to space group Fm-3m (No. 225); the cell edges are 6.172, 6.172 and 6.172 Å and the angles 90.00°, 90.00° and 90.00°. The distinct sites, in fractional coordinates, are Ga at (0.000, 0.000, 0.000), Si at (0.000, 0.000, 0.500) and Mo at (0.250, 0.250, 0.250).

---

# 6
This record from Alexandria via LeMat-Bulk describes crystalline Al2GeO5 at its relaxed geometry. The functional is PBE.

The calculation puts the formation energy (no corrections) at -2.46 eV/atom. As for the density of states at the Fermi level: 0.00 states/eV per cell. As for the polymorph energy (0 for the lowest one): 43 meV/atom.

The structure belongs to space group Cmcm (No. 63); the cell edges are 3.619, 9.453 and 9.545 Å and the angles 90.00°, 90.00° and 90.00°. The distinct sites, in fractional coordinates, are Al at (0.000, 0.137, 0.062), Ge at (0.000, 0.182, 0.750), O at (0.000, 0.049, 0.614), O at (0.000, 0.245, 0.250) and O at (0.000, 0.312, 0.577).

---

# 7
This record from Alexandria via LeMat-Bulk describes crystalline KGaF2 at its relaxed geometry. The functional is PBE.

The calculation puts the formation energy (no corrections) at -1.98 eV/atom. As for the density of states at the Fermi level: 0.00 states/eV per cell. As for the polymorph energy (0 for the lowest one): 77 meV/atom.

The structure belongs to space group P4/mmm (No. 123); the cell edges are 3.188, 3.188 and 6.543 Å and the angles 90.00°, 90.00° and 90.00°. The distinct sites, in fractional coordinates, are K at (0.000, 0.000, 0.000), Ga at (0.000, 0.000, 0.500) and F at (0.500, 0.500, 0.248).

---

# 8
This record from Alexandria via LeMat-Bulk describes crystalline ZnBIrC2 at its relaxed geometry. The functional is PBE.

As for the density of states at the Fermi level: 1.85 states/eV per cell. The value obtained for the formation energy is 1.684 eV per atom.

The structure belongs to space group P4/mmm (No. 123); the cell edges are 3.453, 3.453 and 4.562 Å and the angles 90.00°, 90.00° and 90.00°. The distinct sites, in fractional coordinates, are Zn at (0.000, 0.000, 0.000), B at (0.500, 0.500, 0.500), Ir at (0.500, 0.500, 0.000) and C at (0.000, 0.500, 0.500).

---

# 9
This record from Alexandria via LeMat-Bulk describes crystalline DyAl2Co at its relaxed geometry. The functional is PBE.

As for the density of states at the Fermi level: 2.50 states/eV per cell. The value obtained for the formation energy is -0.377 eV per atom.

The structure belongs to space group P4/mmm (No. 123); the cell edges are 3.048, 3.048 and 7.288 Å and the angles 90.00°, 90.00° and 90.00°. The distinct sites, in fractional coordinates, are Dy at (0.000, 0.000, 0.000), Al at (0.500, 0.500, 0.316) and Co at (0.000, 0.000, 0.500).

---

# 10
This record from Alexandria via LeMat-Bulk describes crystalline K2TiPb2 at its relaxed geometry. The functional is PBE.

As for the density of states at the Fermi level: 9.65 states/eV per cell. The value obtained for the formation energy is 0.196 eV per atom.

The structure belongs to space group P4/mbm (No. 127); the cell edges are 7.689, 7.689 and 6.148 Å and the angles 90.00°, 90.00° and 90.00°. The distinct sites, in fractional coordinates, are K at (0.159, 0.341, 0.000), Ti at (0.000, 0.000, 0.500) and Pb at (0.185, 0.685, 0.500).

---

# 11
This record from Alexandria via LeMat-Bulk describes crystalline EuLuGaCu at its relaxed geometry. The functional is PBE.

As for the density of states at the Fermi level: 23.78 states/eV per cell. The value obtained for the formation energy is -0.308 eV per atom.

The structure belongs to space group F-43m (No. 216); the cell edges are 7.128, 7.128 and 7.128 Å and the angles 90.00°, 90.00° and 90.00°. The distinct sites, in fractional coordinates, are Eu at (0.000, 0.000, 0.000), Lu at (0.000, 0.000, 0.500), Ga at (0.250, 0.250, 0.750) and Cu at (0.250, 0.250, 0.250).

---

# 12
This record from Alexandria via LeMat-Bulk describes crystalline Ga2AgPd7 at its relaxed geometry. The functional is PBE.

As for the density of states at the Fermi level: 14.44 states/eV per cell. As for the polymorph energy (0 for the lowest one): 0 meV/atom. The value obtained for the formation energy is -0.309 eV per atom.

The structure belongs to space group I4/mmm (No. 139); the cell edges are 4.102, 4.102 and 19.614 Å and the angles 90.00°, 90.00° and 90.00°. The distinct sites, in fractional coordinates, are Ga at (0.000, 0.000, 0.174), Ag at (0.000, 0.000, 0.500), Pd at (0.000, 0.000, 0.000), Pd at (0.000, 0.500, 0.100) and Pd at (0.000, 0.500, 0.250).

---

# 13
This record from Alexandria via LeMat-Bulk describes crystalline PaCuGeOs at its relaxed geometry. The functional is PBE.

As for the density of states at the Fermi level: 17.82 states/eV per cell. The value obtained for the formation energy is -0.008 eV per atom.

The structure belongs to space group F-43m (No. 216); the cell edges are 6.580, 6.580 and 6.580 Å and the angles 90.00°, 90.00° and 90.00°. The distinct sites, in fractional coordinates, are Pa at (0.000, 0.000, 0.000), Cu at (0.250, 0.250, 0.750), Ge at (0.000, 0.000, 0.500) and Os at (0.250, 0.250, 0.250).

---

# 14
This record from Alexandria via LeMat-Bulk describes crystalline TbCrP2Ru at its relaxed geometry. The functional is PBE.

As for the density of states at the Fermi level: 8.40 states/eV per cell. The value obtained for the formation energy is -0.892 eV per atom.

The structure belongs to space group I-4m2 (No. 119); the cell edges are 4.020, 4.020 and 9.678 Å and the angles 90.00°, 90.00° and 90.00°. The distinct sites, in fractional coordinates, are Tb at (0.000, 0.000, 0.000), Cr at (0.000, 0.500, 0.250), P at (0.000, 0.000, 0.374) and Ru at (0.000, 0.500, 0.750).

---

# 15
This record from Alexandria via LeMat-Bulk describes crystalline SrBe2Mo at its relaxed geometry. The functional is PBE.

As for the density of states at the Fermi level: 3.41 states/eV per cell. As for the polymorph energy (0 for the lowest one): 116 meV/atom. The value obtained for the formation energy is 0.494 eV per atom.

The structure belongs to space group Pm (No. 6); the cell edges are 3.608, 3.494 and 6.113 Å and the angles 90.00°, 107.11° and 90.00°. The distinct sites, in fractional coordinates, are Sr at (0.000, 0.000, 0.000), Be at (0.249, 0.000, 0.496), Be at (0.348, 0.500, 0.693) and Mo at (0.729, 0.500, 0.455).

---

# 16
This record from Alexandria via LeMat-Bulk describes crystalline Pr2Th at its relaxed geometry. The functional is PBE.

As for the density of states at the Fermi level: 58.43 states/eV per cell. As for the polymorph energy (0 for the lowest one): 316 meV/atom. The value obtained for the formation energy is 0.348 eV per atom.

The structure belongs to space group Fd-3m (No. 227, origin choice 2); the cell edges are 9.363, 9.363 and 9.363 Å and the angles 90.00°, 90.00° and 90.00°. The distinct sites, in fractional coordinates, are Pr at (0.000, 0.000, 0.000) and Th at (0.125, 0.125, 0.625).

---

# 17
This record from Alexandria via LeMat-Bulk describes crystalline Sm5Cu2Te at its relaxed geometry. The functional is PBE.

The calculation puts the formation energy (no corrections) at -0.43 eV/atom. As for the density of states at the Fermi level: 34.13 states/eV per cell.

The structure belongs to space group I4/mcm (No. 140); the cell edges are 8.155, 8.155 and 12.909 Å and the angles 90.00°, 90.00° and 90.00°. The distinct sites, in fractional coordinates, are Sm at (0.000, 0.000, 0.000), Sm at (0.153, 0.347, 0.141), Cu at (0.133, 0.367, 0.500) and Te at (0.000, 0.000, 0.250).

---

# 18
This record from Alexandria via LeMat-Bulk describes crystalline YGeS2O at its relaxed geometry. The functional is PBE.

The calculation puts the formation energy (no corrections) at -1.10 eV/atom. As for the density of states at the Fermi level: 1.20 states/eV per cell.

The structure belongs to space group P4/mmm (No. 123); the cell edges are 4.819, 4.819 and 3.788 Å and the angles 90.00°, 90.00° and 90.00°. The distinct sites, in fractional coordinates, are Y at (0.000, 0.000, 0.000), Ge at (0.500, 0.500, 0.500), S at (0.000, 0.500, 0.500) and O at (0.500, 0.500, 0.000).

---

# 19
This record from Alexandria via LeMat-Bulk describes crystalline Mg4GaPb at its relaxed geometry. The functional is PBE.

As for the density of states at the Fermi level: 5.45 states/eV per cell. As for the polymorph energy (0 for the lowest one): 0 meV/atom. The value obtained for the formation energy is -0.071 eV per atom.

The structure belongs to space group C2/c (No. 15); the cell edges are 8.535, 12.538 and 5.490 Å and the angles 90.00°, 108.44° and 90.00°. The distinct sites, in fractional coordinates, are Mg at (0.118, 0.180, 0.071), Mg at (0.212, 0.410, 0.359), Ga at (0.000, 0.001, 0.750) and Pb at (0.000, 0.376, 0.750).

---

# 20
This record from Alexandria via LeMat-Bulk describes crystalline ZrNbHg2 at its relaxed geometry. The functional is PBE.

As for the density of states at the Fermi level: 11.76 states/eV per cell. As for the polymorph energy (0 for the lowest one): 368 meV/atom. The value obtained for the formation energy is 0.398 eV per atom.

The structure belongs to space group I-42d (No. 122); the cell edges are 7.814, 7.814 and 5.838 Å and the angles 90.00°, 90.00° and 90.00°. The distinct sites, in fractional coordinates, are Zr at (0.000, 0.000, 0.000), Nb at (0.000, 0.000, 0.500) and Hg at (0.239, 0.750, 0.625).